Ba2HPtI PBE-GGA relaxed; M_tot = 0.00 μB/cell; space-group type = P4/mmm, No. 123; electronic total energy = -3.7466 eV/atom
1.0
5.937 0.000 0.000
0.000 5.937 0.000
0.000 0.000 3.889
I H Ba Pt
1 1 2 1
direct
0.500 0.500 0.500
0.000 0.000 0.000
0.000 0.500 0.000
0.500 0.000 0.000
0.000 0.000 0.500

CuRePb2 PBE-GGA relaxed; M_tot = 0.29 μB/cell; excess energy over the best structure of this formula in the dataset = 346 meV/atom; formation energy from the elements = 0.94 eV per atom; space-group type = Cmmm, No. 65
1.0
3.181 0.001 0.000
-1.247 2.927 0.000
0.000 0.000 9.037
Cu Pb Re
1 2 1
direct
0.500 0.500 0.750
0.000 0.000 0.001
0.000 0.000 0.499
0.500 0.500 0.250

RbPmMnBr6 PBE-GGA relaxed; M_tot = 10.00 μB/cell; space-group type = P-31c, No. 163; formation energy from raw total energies = -1.50 eV per atom
1.0
-4.533 1.108 -5.599
2.973 -6.574 1.036
-11.865 -3.976 8.819
Rb Pm Mn Br
2 2 2 12
direct
0.000 0.000 0.000
0.000 0.000 0.500
0.333 0.667 0.250
0.667 0.333 0.750
0.667 0.333 0.250
0.333 0.667 0.750
0.635 0.617 0.145
0.982 0.365 0.145
0.365 0.982 0.645
0.018 0.635 0.855
0.383 0.365 0.355
0.982 0.617 0.355
0.617 0.982 0.855
0.635 0.018 0.355
0.018 0.383 0.645
0.383 0.018 0.145
0.617 0.635 0.645
0.365 0.383 0.855

TaNbAu PBE-GGA relaxed; M_tot = 0.00 μB/cell; excess energy over the best structure of this formula in the dataset = 160 meV/atom; formation energy from the elements = 0.06 eV per atom; space-group type = I4mm, No. 107
1.0
-1.788 -2.821 -0.950
2.874 -1.348 -1.406
0.466 0.114 5.129
Nb Au Ta
1 1 1
direct
0.331 0.331 0.662
0.001 0.001 0.002
0.668 0.668 0.336

CeHo3Te2 PBE-GGA relaxed; M_tot = 2.80 μB/cell; space-group type = C2/m, No. 12; formation energy from raw total energies = -0.81 eV per atom
1.0
4.125 0.000 0.000
-2.063 8.229 -0.130
0.000 -3.658 10.832
Ce Ho Te
2 6 4
direct
0.882 0.764 0.962
0.118 0.236 0.038
0.282 0.564 0.623
0.939 0.877 0.594
0.622 0.243 0.667
0.378 0.757 0.333
0.061 0.123 0.406
0.718 0.436 0.377
0.482 0.964 0.825
0.518 0.036 0.175
0.771 0.542 0.146
0.229 0.458 0.854

Hf3VBi PBE-GGA relaxed; M_tot = 0.00 μB/cell; excess energy over the best structure of this formula in the dataset = 0 meV/atom; formation energy from the elements = 0.02 eV per atom; space-group type = C2/m, No. 12
1.0
3.313 -0.001 0.000
-1.659 7.958 -0.254
-0.001 -0.573 8.416
Hf V Bi
6 2 2
direct
0.075 0.182 0.459
0.431 0.895 0.648
0.613 0.259 0.774
0.969 0.972 0.962
0.274 0.581 0.003
0.770 0.573 0.419
0.225 0.483 0.650
0.819 0.671 0.771
0.417 0.867 0.274
0.627 0.287 0.148

SrGaO2 PBE-GGA relaxed; M_tot = 0.00 μB/cell; space-group type = I4/mcm, No. 140; formation energy from raw total energies = -1.60 eV per atom
1.0
5.357 -0.010 0.017
-1.725 5.074 -0.017
1.725 2.598 4.359
Sr Ga O
2 2 4
direct
0.000 0.250 0.750
0.000 0.750 0.250
0.500 0.250 0.250
0.500 0.750 0.750
0.500 0.335 0.835
0.170 0.835 0.665
0.830 0.165 0.335
0.500 0.665 0.165

TiFeOsAu2 PBE-GGA relaxed; M_tot = 3.26 μB/cell; formation energy from the elements = 1.18 eV per atom; space-group type = P4/mmm, No. 123
1.0
5.083 0.000 0.000
0.000 4.488 0.000
0.000 0.000 5.083
Os Au Fe Ti
1 2 1 1
direct
0.000 0.000 0.000
0.000 0.000 0.500
0.500 0.000 0.000
0.500 0.500 0.500
0.000 0.500 0.000

Ag2TePt PBE-GGA relaxed; M_tot = 0.00 μB/cell; space-group type = Pmmm, No. 47; formation energy from raw total energies = 0.12 eV per atom
1.0
-2.939 0.992 0.229
-1.084 -2.413 -3.459
-1.224 -4.426 3.471
Te Ag Pt
1 2 1
direct
0.500 0.500 0.750
0.000 0.000 0.015
0.000 0.000 0.485
0.500 0.500 0.250

BeSbTe2 PBE-GGA relaxed; M_tot = 0.00 μB/cell; excess energy over the best structure of this formula in the dataset = 258 meV/atom; space-group type = I4/mmm, No. 139; formation energy from raw total energies = 0.28 eV per atom
1.0
5.173 -0.051 0.002
-1.838 4.836 0.002
1.666 2.390 4.269
Sb Te Be
1 2 1
direct
0.000 0.500 0.500
0.000 0.000 0.000
0.500 0.500 0.000
0.500 0.000 0.500

Ce4InHg PBE-GGA relaxed; M_tot = 4.33 μB/cell; excess energy over the best structure of this formula in the dataset = 35 meV/atom; formation energy from the elements = -0.15 eV per atom; space-group type = P-1, No. 2
1.0
-4.401 -0.114 4.187
4.428 -2.608 3.485
4.636 7.932 0.687
Ce In Hg
8 2 2
direct
0.506 0.963 0.854
0.653 0.465 0.146
0.494 0.037 0.146
0.347 0.535 0.854
0.052 0.028 0.686
0.366 0.529 0.313
0.948 0.972 0.314
0.634 0.471 0.687
0.998 0.750 0.995
0.002 0.250 0.005
0.500 0.000 0.500
0.000 0.500 0.500

LaSb3H PBE-GGA relaxed; M_tot = 0.95 μB/cell; excess energy over the best structure of this formula in the dataset = 1167 meV/atom; space-group type = Pm-3m, No. 221
1.0
-0.139 -6.018 1.164
4.219 -0.939 -4.349
4.447 0.703 4.162
Sb H La
3 1 1
direct
0.000 0.500 0.000
0.000 0.000 0.500
0.500 0.000 0.000
0.500 0.500 0.500
0.000 0.000 0.000